No. 1
! LaNi6As2 (PBE-GGA, relaxed); values from VASP
! Energy of formation ... -0.3870 eV/atom
! Space-group type ... P4/mmm
! N(E_F) ... 12.20 states/eV per cell
! Size of the total moment ... 1.55 Bohr magnetons per cell
! Raw total energy ... -52.40 eV/cell
&SYSTEM
  ibrav = 0, nat = 9, ntyp = 3
/
ATOMIC_SPECIES
La 138.91 La.upf
Ni 58.69 Ni.upf
As 74.92 As.upf
ATOMIC_POSITIONS crystal
La 0.000 0.000 0.000
Ni 0.000 0.500 0.327
Ni 0.500 0.000 0.327
Ni 0.000 0.500 0.673
Ni 0.500 0.000 0.673
Ni 0.500 0.500 0.500
Ni 0.000 0.000 0.500
As 0.500 0.500 0.183
As 0.500 0.500 0.817
CELL_PARAMETERS angstrom
4.108 0.000 0.000
0.000 4.108 0.000
0.000 0.000 7.861


No. 2
! Ac2Ni3As4Pd (PBE-GGA, relaxed); values from VASP
! Energy of formation ... -0.8417 eV/atom
! Space-group type ... P-4m2
! N(E_F) ... 4.24 states/eV per cell
! Size of the total moment ... 0.00 Bohr magnetons per cell
! Raw total energy ... -57.77 eV/cell
&SYSTEM
  ibrav = 0, nat = 10, ntyp = 4
/
ATOMIC_SPECIES
Ac 227.00 Ac.upf
Ni 58.69 Ni.upf
As 74.92 As.upf
Pd 106.42 Pd.upf
ATOMIC_POSITIONS crystal
Ac 0.500 0.000 0.249
Ac 0.000 0.500 0.751
Ni 0.000 0.000 0.500
Ni 0.500 0.000 0.890
Ni 0.000 0.500 0.110
As 0.500 0.500 0.000
As 0.000 0.000 0.000
As 0.500 0.000 0.636
As 0.000 0.500 0.364
Pd 0.500 0.500 0.500
CELL_PARAMETERS angstrom
-3.261 2.471 1.618
1.106 -1.213 4.082
6.070 7.609 0.615


No. 3
! Pm2HoPd (PBE-GGA, relaxed); values from VASP
! Energy of formation ... -0.3339 eV/atom
! Distance to the lowest polymorph of the same formula ... 99 meV per atom
! Space-group type ... P4/mmm
! N(E_F) ... 5.32 states/eV per cell
! Size of the total moment ... 0.00 Bohr magnetons per cell
! Raw total energy ... -20.61 eV/cell
&SYSTEM
  ibrav = 0, nat = 4, ntyp = 3
/
ATOMIC_SPECIES
Ho 164.93 Ho.upf
Pd 106.42 Pd.upf
Pm 145.00 Pm.upf
ATOMIC_POSITIONS crystal
Ho 0.500 0.500 0.500
Pd 0.500 0.500 0.000
Pm 0.000 0.000 0.796
Pm 0.000 0.000 0.204
CELL_PARAMETERS angstrom
3.675 0.000 0.000
0.000 3.675 0.000
0.000 0.000 8.397


No. 4
! PuCrP2 (PBE-GGA, relaxed); values from VASP
! Energy of formation ... -0.7325 eV/atom
! Distance to the lowest polymorph of the same formula ... 0 meV per atom
! Space-group type ... R-3m
! N(E_F) ... 7.59 states/eV per cell
! Size of the total moment ... 7.42 Bohr magnetons per cell
! Raw total energy ... -37.71 eV/cell
&SYSTEM
  ibrav = 0, nat = 4, ntyp = 3
/
ATOMIC_SPECIES
Cr 52.00 Cr.upf
P 30.97 P.upf
Pu 244.00 Pu.upf
ATOMIC_POSITIONS crystal
Cr 0.000 0.000 0.000
P 0.264 0.264 0.207
P 0.736 0.736 0.793
Pu 0.500 0.500 0.500
CELL_PARAMETERS angstrom
3.788 0.000 0.000
1.894 3.280 0.000
1.894 1.093 5.687


No. 5
! LaTl2P2S7 (PBE-GGA, relaxed); values from VASP
! Space-group type ... C2/m
! E_form (uncorrected) ... -9.47 eV/f.u.
! N(E_F) ... 0.00 states/eV per cell
! Size of the total moment ... 0.00 Bohr magnetons per cell
! Raw total energy ... -117.69 eV/cell
&SYSTEM
  ibrav = 0, nat = 24, ntyp = 4
/
ATOMIC_SPECIES
La 138.91 La.upf
Tl 204.38 Tl.upf
P 30.97 P.upf
S 32.06 S.upf
ATOMIC_POSITIONS crystal
La 0.340 0.340 0.840
La 0.660 0.660 0.160
Tl 0.005 0.005 0.730
Tl 0.995 0.995 0.270
Tl 0.327 0.327 0.296
Tl 0.673 0.673 0.704
P 0.451 0.451 0.482
P 0.549 0.549 0.518
P 0.164 0.164 0.946
P 0.836 0.836 0.054
S 0.524 0.524 0.735
S 0.476 0.476 0.265
S 0.229 0.229 0.739
S 0.771 0.771 0.261
S 0.846 0.349 0.417
S 0.349 0.846 0.417
S 0.154 0.651 0.583
S 0.651 0.154 0.583
S 0.857 0.350 0.984
S 0.350 0.857 0.984
S 0.143 0.650 0.016
S 0.650 0.143 0.016
S 0.787 0.787 0.907
S 0.213 0.213 0.093
CELL_PARAMETERS angstrom
-10.531 2.980 2.783
-8.312 -1.136 7.559
0.320 7.534 6.344


No. 6
! ReHgSb (PBE-GGA, relaxed); values from VASP
! Distance to the lowest polymorph of the same formula ... 166 meV per atom
! Space-group type ... Fmm2
! E_form (uncorrected) ... 2.30 eV/f.u.
! N(E_F) ... 2.16 states/eV per cell
! Size of the total moment ... 0.00 Bohr magnetons per cell
! Raw total energy ... -14.57 eV/cell
&SYSTEM
  ibrav = 0, nat = 3, ntyp = 3
/
ATOMIC_SPECIES
Hg 200.59 Hg.upf
Re 186.21 Re.upf
Sb 121.76 Sb.upf
ATOMIC_POSITIONS crystal
Hg 0.975 0.975 0.025
Re 0.328 0.328 0.672
Sb 0.697 0.697 0.303
CELL_PARAMETERS angstrom
8.801 0.018 -0.011
8.040 2.931 -0.050
0.760 -1.213 2.649


- Among the records above, which one has the highest size of the total moment?
  PuCrP2